# PBE Ru2RhBr, relaxed
data_Ru2RhBr
_cell_length_a 2.8835
_cell_length_b 2.8835
_cell_length_c 25.5716
_cell_angle_alpha 90.00
_cell_angle_beta 90.00
_cell_angle_gamma 120.00
_space_group_name_H-M_alt 'R -3 m'
_space_group_IT_number 166
_space_group_name_Hall '-R 3 2"'
loop_
_atom_site_label
_atom_site_type_symbol
_atom_site_fract_x
_atom_site_fract_y
_atom_site_fract_z
_atom_site_occupancy
Ru1 Ru 0.0000 0.0000 0.2503 1
Rh1 Rh 0.0000 0.0000 0.0000 1
Br1 Br 0.0000 0.0000 0.5000 1
# Total energy   -74.82 eV for the cell shown
# Formation energy without anion corrections   2.6 eV per formula unit
# Energy relative to the lowest polymorph listed for this composition   145 meV/atom

# PBE RuRh2Br, relaxed
data_RuRh2Br
_cell_length_a 2.9026
_cell_length_b 2.9026
_cell_length_c 25.5313
_cell_angle_alpha 90.00
_cell_angle_beta 90.00
_cell_angle_gamma 120.00
_space_group_name_H-M_alt 'R 3 m'
_space_group_IT_number 160
_space_group_name_Hall 'R 3 -2"'
loop_
_atom_site_label
_atom_site_type_symbol
_atom_site_fract_x
_atom_site_fract_y
_atom_site_fract_z
_atom_site_occupancy
Ru1 Ru 0.0000 0.0000 0.0000 1
Rh1 Rh 0.0000 0.0000 0.4993 1
Rh2 Rh 0.0000 0.0000 0.7477 1
Br1 Br 0.0000 0.0000 0.2513 1
# Total energy   -70.34 eV for the cell shown
# Formation energy without anion corrections   2.2 eV per formula unit
# Energy relative to the lowest polymorph listed for this composition   115 meV/atom

# PBE RuRh2Br, relaxed
data_RuRh2Br
_cell_length_a 2.806
_cell_length_b 4.952
_cell_length_c 9.189
_cell_angle_alpha 90.00
_cell_angle_beta 90.00
_cell_angle_gamma 90.00
_space_group_name_H-M_alt 'C m m 2'
_space_group_IT_number 35
_space_group_name_Hall 'C 2 -2'
loop_
_atom_site_label
_atom_site_type_symbol
_atom_site_fract_x
_atom_site_fract_y
_atom_site_fract_z
_atom_site_occupancy
Ru1 Ru 0.000 0.000 0.000 1
Rh1 Rh 0.000 0.000 0.513 1
Rh2 Rh 0.000 0.500 0.760 1
Br1 Br 0.000 0.500 0.256 1
# Total energy   -45.44 eV for the cell shown
# Formation energy without anion corrections   2.9 eV per formula unit
# Energy relative to the lowest polymorph listed for this composition   297 meV/atom

# PBE Ru2RhBr, relaxed
data_Ru2RhBr
_cell_length_a 8.789
_cell_length_b 2.879
_cell_length_c 5.092
_cell_angle_alpha 90.00
_cell_angle_beta 103.36
_cell_angle_gamma 90.00
_space_group_name_H-M_alt 'C 1 2/m 1'
_space_group_IT_number 12
_space_group_name_Hall '-C 2y'
loop_
_atom_site_label
_atom_site_type_symbol
_atom_site_fract_x
_atom_site_fract_y
_atom_site_fract_z
_atom_site_occupancy
Ru1 Ru 0.246 0.000 0.280 1
Rh1 Rh 0.000 0.000 0.500 1
Br1 Br 0.000 0.500 0.000 1
# Total energy   -49.22 eV for the cell shown
# Formation energy without anion corrections   3.0 eV per formula unit
# Energy relative to the lowest polymorph listed for this composition   227 meV/atom

- Which value of total energy does entry 3 give?
  -45.44 eV for the cell shown

- Number 1 is which compound?
  Ru2RhBr